VASP calculation (PBE) on crystalline Pm2YUS4 at its relaxed geometry.

a = 3.933 Å, b = 6.876 Å, c = 6.898 Å
α = 109.05°, β = 90.00°, γ = 90.00°
Site moments in Bohr magnetons follow the coordinates.
Fractional coordinates of all 8 atoms:
Pm1 0.500 0.000 0.500  -0.02
Pm2 0.000 0.500 0.500  0.04
Y1 0.000 0.000 0.000  0.05
U1 0.500 0.500 0.000  2.33
S1 0.500 0.247 0.239  -0.01
S2 0.500 0.753 0.761  -0.01
S3 0.000 0.254 0.761  -0.03
S4 0.000 0.746 0.239  -0.03

Properties
**Electronic total energy**: -7.311 eV per atom
**SG**: P2/m (10)
**V**: 22.0 Å³/atom